No. 1
Crystalline Ta3Cd at its relaxed geometry. Source: the Alexandria database, functional PBE. Values from VASP.

Output
**Symmetry**: C2/m
**Density**: 14.45 Mg/m³
**Volume**: 18.8 A^3/atom
**E_tot**: -35.4 eV/cell
**D(E_F)**: 0.9533 states/eV per atom

Quantum ESPRESSO input file:
```
&SYSTEM
  ibrav = 0, nat = 4, ntyp = 2
/
ATOMIC_SPECIES
Cd 112.41 Cd.upf
Ta 180.95 Ta.upf
CELL_PARAMETERS angstrom
-3.989 -3.238 -0.144
-2.770 -3.565 2.457
4.074 11.037 -0.523
ATOMIC_POSITIONS crystal
Cd 0.000 0.000 0.000
Ta 0.001 0.001 0.253
Ta 0.000 0.000 0.500
Ta 0.999 0.999 0.747
```

---

No. 2
Crystalline Nd5Mg4Sc at its relaxed geometry. Source: the Alexandria database, functional PBE. Values from VASP.

Output
**Symmetry**: P4/mmm
**Density**: 4.86 Mg/m³
**Volume**: 29.5 A^3/atom
**E_tot**: -37.2 eV/cell
**D(E_F)**: 1.2410 states/eV per atom

Quantum ESPRESSO input file:
```
&SYSTEM
  ibrav = 0, nat = 10, ntyp = 3
/
ATOMIC_SPECIES
Nd 144.24 Nd.upf
Mg 24.30 Mg.upf
Sc 44.96 Sc.upf
CELL_PARAMETERS angstrom
3.851 0.000 0.000
0.000 3.851 0.000
0.000 0.000 19.896
ATOMIC_POSITIONS crystal
Nd 0.500 0.500 0.104
Nd 0.500 0.500 0.303
Nd 0.500 0.500 0.500
Nd 0.500 0.500 0.697
Nd 0.500 0.500 0.896
Mg 0.000 0.000 0.203
Mg 0.000 0.000 0.401
Mg 0.000 0.000 0.599
Mg 0.000 0.000 0.797
Sc 0.000 0.000 0.000
```

---

No. 3
Crystalline Tc2AsAu at its relaxed geometry. Source: the Alexandria database, functional PBE. Values from VASP.

Output
**Symmetry**: P4/mmm
**Density**: 12.59 Mg/m³
**Volume**: 15.4 A^3/atom
**E_tot**: -28.0 eV/cell
**D(E_F)**: 1.1154 states/eV per atom

Quantum ESPRESSO input file:
```
&SYSTEM
  ibrav = 0, nat = 4, ntyp = 3
/
ATOMIC_SPECIES
As 74.92 As.upf
Au 196.97 Au.upf
Tc 98.00 Tc.upf
CELL_PARAMETERS angstrom
3.050 0.000 0.000
0.000 3.050 0.000
0.000 0.000 6.632
ATOMIC_POSITIONS crystal
As 0.500 0.500 0.250
Au 0.500 0.500 0.750
Tc 0.000 0.000 0.037
Tc 0.000 0.000 0.463
```

---

No. 4
Crystalline BaHOs2 at its relaxed geometry. Source: the Alexandria database, functional PBE. Values from VASP.

Output
**Symmetry**: Fm-3m
**Density**: 12.50 Mg/m³
**Volume**: 17.2 A^3/atom
**E_tot**: -18.2 eV/cell
**D(E_F)**: 1.1572 states/eV per atom

Quantum ESPRESSO input file:
```
&SYSTEM
  ibrav = 0, nat = 4, ntyp = 3
/
ATOMIC_SPECIES
H 1.01 H.upf
Os 190.23 Os.upf
Ba 137.33 Ba.upf
CELL_PARAMETERS angstrom
0.000 3.254 3.254
3.254 0.000 3.254
3.254 3.254 0.000
ATOMIC_POSITIONS crystal
H 0.000 0.000 0.000
Os 0.250 0.250 0.250
Os 0.750 0.750 0.750
Ba 0.500 0.500 0.500
```